A PBEsol-optimized structure of SbOs2Se, computed with meta-GGA SCAN.

Properties
For the distance to the lowest polymorph of the same formula, the calculation gives 0 meV/atom. Its raw formation energy is 64 kJ per mole of atoms. As for the calculated volume: 65 Å³/cell. The crystal system is monoclinic.

```
SbOs2Se
1.0
4.140 -1.516 0.000
4.140 1.516 0.000
-1.155 0.000 5.185
Sb Os Se
1 2 1
Direct
0.000 0.000 0.000
0.248 0.248 0.725
0.752 0.752 0.275
0.500 0.500 0.500
```